VASP calculation (GGA-PBE) on an optimized crystal structure of Tm3GeIr.

Geometry as extended XYZ:
```
10
Lattice="4.274 0.001 0.000 -2.137 7.016 0.340 0.000 0.111 8.080" Properties=species:S:1:pos:R:3 pbc="T T T"
Tm 2.066 4.234 3.440
Tm -0.070 3.910 0.358
Ir 2.066 4.881 6.797
Tm -0.072 6.042 5.561
Tm 2.067 6.861 0.493
Ge -0.070 6.288 2.550
Tm -0.071 1.283 3.306
Ir -0.071 3.374 5.082
Tm 2.067 2.213 6.318
Ge 2.066 1.855 1.250
```

Output
M_tot	0.00	μB/cell
formation enthalpy at 0 K	-0.725	eV/atom
uncorrected energy	-6.1041	eV/atom

---

VASP calculation (GGA-PBE) on an optimized crystal structure of Tm4Ge6Ir7.

Geometry as extended XYZ:
```
17
Lattice="7.235 0.000 0.000 -2.412 6.821 0.000 -2.412 -3.411 5.907" Properties=species:S:1:pos:R:3 pbc="T T T"
Ir 3.617 0.000 2.954
Ge 1.526 -1.079 1.868
Ir 1.206 -0.853 4.430
Ir 0.000 0.000 0.000
Ir 3.617 2.558 1.477
Tm 3.617 0.000 0.000
Ge -1.526 1.079 1.868
Ir 1.206 4.263 1.477
Ge 3.298 -2.332 4.039
Tm 1.206 1.705 2.954
Ge 1.526 2.157 0.000
Tm -1.206 3.411 0.000
Tm -1.206 -1.705 2.954
Ge 3.298 4.664 0.000
Ir -1.206 3.411 2.954
Ir -1.206 0.853 4.430
Ge -3.298 2.332 4.039
```

Output
M_tot	0.00	μB/cell
formation enthalpy at 0 K	-0.888	eV/atom
uncorrected energy	-7.2184	eV/atom